Material: Ti20Ge9Sb3
Method: DFT, PBEsol
State: optimized geometry

abc: 7.578 5.199 13.261
angles: 90.00 90.23 90.00
Fractional positions:
Ti  0.000  0.000  0.000
Ti  0.018  0.500  0.506
Ti  0.143  0.000  0.638
Ti  0.151  0.000  0.385
Ti  0.261  0.253  0.835
Ti  0.261  0.747  0.835
Ti  0.271  0.256  0.175
Ti  0.271  0.744  0.175
Ti  0.389  0.500  0.634
Ti  0.394  0.500  0.378
Ti  0.499  0.000  0.507
Ti  0.524  0.500  0.007
Ti  0.633  0.000  0.138
Ti  0.644  0.000  0.874
Ti  0.758  0.256  0.341
Ti  0.758  0.744  0.341
Ti  0.759  0.253  0.677
Ti  0.759  0.747  0.677
Ti  0.891  0.500  0.130
Ti  0.892  0.500  0.876
Ge  0.067  0.500  0.699
Ge  0.071  0.500  0.314
Ge  0.153  0.500  0.005
Ge  0.459  0.000  0.701
Ge  0.460  0.000  0.313
Ge  0.568  0.500  0.813
Ge  0.573  0.500  0.200
Ge  0.649  0.500  0.509
Ge  0.959  0.000  0.809
Sb  0.372  0.000  0.004
Sb  0.871  0.000  0.508
Sb  0.962  0.000  0.203

* density of states at the Fermi level: 0.68 states/eV per atom
* energy relative to the elements, uncorrected: -0.69 eV/atom
* total energy: -246.731 eV per cell
* theoretical density: 6.3 g/cm³